## CuNiSe2 (GGA-PBE)

Data for CuNiSe2 after structural relaxation.

Lattice parameters (Å, degrees): 4.050 6.075 6.183 102.11 95.12 99.28
Space group P-1 (No. 2)
Unique sites:
1 Cu 0.002 0.123 0.205 x2
2 Ni 0.339 0.531 0.232 x2
3 Se 0.123 0.288 0.872 x2
4 Se 0.439 0.748 0.604 x2

Values from the calculation:
D(E_F): 2.309 states/eV/f.u.
uncorrected formation energy: -0.20 eV per atom